(1)
{
  "formula": "CaSm2ThAs4",
  "functional": "PBE",
  "state": "optimized geometry",
  "spacegroup": "P2/m (10)",
  "final_energy_ry_per_atom": -0.4488,
  "magmom_total_mub_per_fu": 0.00,
  "cell": [[7.315, 0.000, 0.000], [0.000, 4.253, 0.000], [-2.423, 0.000, 6.941]],
  "species": ["Ca", "Sm", "Sm", "Th", "As", "As", "As", "As"],
  "frac_coords": [[0.000, 0.000, 0.000], [0.000, 0.500, 0.500], [0.500, 0.000, 0.500], [0.500, 0.500, 0.000], [0.252, 0.000, 0.749], [0.255, 0.500, 0.252], [0.745, 0.500, 0.748], [0.748, 0.000, 0.251]]
}

=====

(2)
{
  "formula": "Ca2SmThAs4",
  "functional": "PBE",
  "state": "optimized geometry",
  "spacegroup": "P2/m (10)",
  "final_energy_ry_per_atom": -0.4125,
  "magmom_total_mub_per_fu": 0.00,
  "cell": [[7.329, 0.000, 0.000], [0.000, 4.279, 0.000], [-2.501, 0.000, 6.968]],
  "species": ["Ca", "Ca", "Sm", "Th", "As", "As", "As", "As"],
  "frac_coords": [[0.000, 0.000, 0.000], [0.000, 0.500, 0.500], [0.500, 0.000, 0.500], [0.500, 0.500, 0.000], [0.258, 0.000, 0.753], [0.258, 0.500, 0.252], [0.742, 0.000, 0.247], [0.742, 0.500, 0.748]]
}

=====

(3)
{
  "formula": "CaSm2TmAs4",
  "functional": "PBE",
  "state": "optimized geometry",
  "spacegroup": "P2/m (10)",
  "final_energy_ry_per_atom": -0.4163,
  "magmom_total_mub_per_fu": 0.00,
  "cell": [[7.220, 0.000, 0.000], [0.000, 4.181, 0.000], [-2.427, 0.000, 6.863]],
  "species": ["Ca", "Sm", "Sm", "Tm", "As", "As", "As", "As"],
  "frac_coords": [[0.000, 0.000, 0.000], [0.500, 0.000, 0.500], [0.500, 0.500, 0.000], [0.000, 0.500, 0.500], [0.244, 0.000, 0.743], [0.249, 0.500, 0.256], [0.751, 0.500, 0.744], [0.756, 0.000, 0.257]]
}